(1)
VASP calculation (GGA-PBEsol) on crystalline GeAu3 at its relaxed geometry.

symmetry: P-6m2
uncorrected energy: -4.099 eV/atom
N(E_F): 1.5 states/eV/f.u.

Lattice parameters (Å, degrees): 2.912 2.912 9.371 90.00 90.00 120.00
Sites, in units of the cell vectors:
Ge (0.000, 0.000, 0.000)
Au (0.000, 0.000, 0.500)
Au (0.333, 0.667, 0.248)
Au (0.333, 0.667, 0.752)

(2)
VASP calculation (GGA-PBEsol) on crystalline GeAu3 at its relaxed geometry.

symmetry: P6_3/mmc
uncorrected energy: -4.122 eV/atom
N(E_F): 1.4 states/eV/f.u.

Lattice parameters (Å, degrees): 5.731 5.731 4.849 90.00 90.00 120.00
Sites, in units of the cell vectors:
Ge (0.333, 0.667, 0.250)
Ge (0.667, 0.333, 0.750)
Au (0.167, 0.334, 0.750)
Au (0.167, 0.833, 0.750)
Au (0.334, 0.167, 0.250)
Au (0.666, 0.833, 0.750)
Au (0.833, 0.167, 0.250)
Au (0.833, 0.666, 0.250)

(3)
VASP calculation (GGA-PBEsol) on crystalline Ge3HAu at its relaxed geometry.

symmetry: Pm-3m
uncorrected energy: -3.260 eV/atom
N(E_F): 4.1 states/eV/f.u.

Lattice parameters (Å, degrees): 4.970 4.970 4.970 90.00 90.00 90.00
Sites, in units of the cell vectors:
Ge (0.000, 0.000, 0.500)
Ge (0.000, 0.500, 0.000)
Ge (0.500, 0.000, 0.000)
H (0.500, 0.500, 0.500)
Au (0.000, 0.000, 0.000)